(1)
VASP calculation (GGA-PBE) on crystalline Be2Hg2As at its relaxed geometry.

Structure (POSCAR):
```
Be2Hg2As
1.0
7.4951 0.0000 0.0000
0.0000 7.4951 0.0000
0.0000 0.0000 3.0725
Be Hg As
4 4 2
Cartesian
1.3443 2.4033 0.0000
2.4033 6.1508 0.0000
5.0918 1.3443 0.0000
6.1508 5.0918 0.0000
1.0153 4.7628 1.5363
2.7322 1.0153 1.5363
4.7628 6.4798 1.5363
6.4798 2.7322 1.5363
0.0000 0.0000 0.0000
3.7475 3.7475 0.0000
```

D(E_F) ... 0.27 states/eV per atom
Energy relative to the elements ... 0.559 eV per atom
Spin magnetization ... 0.00 μB per formula unit

---

(2)
VASP calculation (GGA-PBE) on crystalline BeHgAs2 at its relaxed geometry.

Structure (POSCAR):
```
BeHgAs2
1.0
3.6706 -1.7612 0.0000
3.6706 1.7612 0.0000
-2.8543 0.0000 6.6288
Be Hg As
1 1 2
Cartesian
0.0000 0.0000 0.0000
1.5755 0.0000 3.3462
3.7758 0.0000 1.5262
2.2610 0.0000 6.0092
```

D(E_F) ... 0.33 states/eV per atom
Energy relative to the elements ... 0.151 eV per atom
Spin magnetization ... 0.00 μB per formula unit

---

(3)
VASP calculation (GGA-PBE) on crystalline BeHgAs2 at its relaxed geometry.

Structure (POSCAR):
```
BeHgAs2
1.0
2.6821 -3.7790 0.0000
2.6821 3.7790 0.0000
-1.9858 0.0000 3.8092
Be Hg As
1 1 2
Cartesian
0.0000 0.0000 0.0000
2.6821 0.0000 0.0000
0.3481 1.8895 1.9046
0.3481 -1.8895 1.9046
```

D(E_F) ... 0.41 states/eV per atom
Energy relative to the elements ... 0.445 eV per atom
Spin magnetization ... 0.00 μB per formula unit

---

(4)
VASP calculation (GGA-PBE) on crystalline K2BeHgAs2 at its relaxed geometry.

Structure (POSCAR):
```
K2BeHgAs2
1.0
-3.1433 7.8763 3.0709
3.1433 -7.8763 3.0709
3.1433 7.8763 -3.0709
K Be Hg As
4 2 2 4
Cartesian
1.4123 2.7203 0.0000
1.4123 -2.7203 3.0709
1.7310 10.5966 0.0000
1.7310 5.1560 3.0709
3.1433 0.0000 1.5354
0.0000 7.8763 1.5354
0.0000 0.0000 1.5354
0.0000 0.0000 4.6063
4.3721 1.4562 0.0000
1.2288 6.4201 0.0000
1.9145 1.4562 3.0709
-1.2288 6.4201 3.0709
```

D(E_F) ... 0.10 states/eV per atom
Energy relative to the elements ... -0.260 eV per atom
Spin magnetization ... 0.00 μB per formula unit

---

(5)
VASP calculation (GGA-PBE) on crystalline Na2BeHgAs2 at its relaxed geometry.

Structure (POSCAR):
```
Na2BeHgAs2
1.0
-2.9666 7.0933 2.9970
2.9666 -7.0933 2.9970
2.9666 7.0933 -2.9970
Na Be Hg As
4 2 2 4
Cartesian
1.2606 2.5234 0.0000
1.2606 -2.5234 2.9970
1.7060 9.6167 0.0000
1.7060 4.5699 2.9970
2.9666 0.0000 1.4985
0.0000 7.0933 1.4985
0.0000 0.0000 1.4985
0.0000 0.0000 4.4955
4.0912 1.5309 0.0000
1.1245 5.5625 0.0000
1.8421 1.5309 2.9970
-1.1245 5.5625 2.9970
```

D(E_F) ... 0.04 states/eV per atom
Energy relative to the elements ... -0.241 eV per atom
Spin magnetization ... 0.00 μB per formula unit

---

(6)
VASP calculation (GGA-PBE) on crystalline Be2HgAsO6 at its relaxed geometry.

Structure (POSCAR):
```
Be2HgAsO6
1.0
4.8265 -5.3041 0.0000
4.8265 5.3041 0.0000
-2.9195 0.0000 4.8977
Be Hg As O
4 2 2 12
Cartesian
1.2480 0.6672 0.5074
-0.2118 -0.6672 2.9562
6.9453 0.6672 1.9415
5.4856 -0.6672 4.3904
2.6369 1.2349 3.6733
4.0967 -1.2349 1.2244
4.0967 2.2275 1.2244
2.6369 -2.2275 3.6733
1.1253 3.0231 4.6253
-1.0896 0.0261 4.0826
0.3702 -0.0261 1.6338
2.7761 1.0770 1.4893
4.1485 3.0231 2.7213
1.3163 -1.0770 3.9381
5.4172 1.0770 0.9596
2.5850 -3.0231 2.1764
3.9575 -1.0770 3.4085
6.3634 0.0261 3.2640
7.8231 -0.0261 0.8151
5.6083 -3.0231 0.2725
```

D(E_F) ... 0.02 states/eV per atom
Spin magnetization ... 1.00 μB per formula unit

---

(7)
VASP calculation (GGA-PBE) on crystalline BeReHgAs2 at its relaxed geometry.

Structure (POSCAR):
```
BeReHgAs2
1.0
4.3970 0.0000 0.0000
0.0000 4.3970 0.0000
0.0000 0.0000 4.5500
Be Re Hg As
1 1 1 2
Cartesian
0.0000 0.0000 0.0000
0.0000 0.0000 2.2750
2.1985 2.1985 2.2750
0.0000 2.1985 0.0000
2.1985 0.0000 0.0000
```

D(E_F) ... 0.80 states/eV per atom
Energy relative to the elements ... 0.945 eV per atom
Spin magnetization ... 1.11 μB per formula unit

---

(8)
VASP calculation (GGA-PBE) on crystalline BeHg2AsS at its relaxed geometry.

Structure (POSCAR):
```
BeHg2AsS
1.0
5.3761 0.0000 0.0000
0.0000 5.3761 0.0000
0.0000 0.0000 4.1065
Be Hg As S
1 2 1 1
Cartesian
0.0000 0.0000 0.0000
0.0000 2.6881 2.0533
2.6881 0.0000 2.0533
0.0000 0.0000 2.0533
2.6881 2.6881 0.0000
```

D(E_F) ... 0.24 states/eV per atom
Spin magnetization ... 0.00 μB per formula unit

---

VASP energy per entry: -0.146, -0.234, -0.212, -0.209, -0.213, -0.408, -0.309, -0.158 Ry/atom